1:
Computed, not measured: HgW2 after structural relaxation at the PBE-GGA level of DFT.

The structure in extended XYZ format:
```
6
Lattice="0.000 3.817 3.817 3.817 0.000 3.817 3.817 3.817 0.000" Properties=species:S:1:pos:R:3 pbc="T T T"
Hg 0.954 0.954 0.954
Hg 6.679 6.679 6.679
W 3.817 1.908 1.908
W 1.908 3.817 1.908
W 1.908 1.908 3.817
W 3.817 3.817 3.817
```

Total magnetic moment (μB/cell): 0.01
Space group: Fd-3m, No. 227


2:
Computed, not measured: HgW2 after structural relaxation at the PBE-GGA level of DFT.

The structure in extended XYZ format:
```
6
Lattice="0.000 6.178 6.178 6.178 0.000 6.178 6.178 6.178 0.000" Properties=species:S:1:pos:R:3 pbc="T T T"
Hg 1.544 1.544 1.544
Hg 10.811 10.811 10.811
W 0.000 0.000 0.000
W 3.089 3.089 0.000
W 3.089 0.000 3.089
W 0.000 3.089 3.089
```

Total magnetic moment (μB/cell): 17.44
Space group: Fd-3m, No. 227


Most stable: 1


1:
Computed, not measured: Zn4Hg3 after structural relaxation at the PBE-GGA level of DFT.

The structure in extended XYZ format:
```
14
Lattice="7.828 0.000 0.000 -3.914 6.779 0.000 0.000 0.000 5.036" Properties=species:S:1:pos:R:3 pbc="T T T"
Zn -0.509 1.500 1.259
Zn -2.360 6.471 1.259
Zn 1.044 1.191 3.777
Zn 0.000 4.520 1.259
Zn 3.914 2.260 3.777
Zn 2.870 5.588 1.259
Zn 6.274 0.309 3.777
Zn 4.424 5.280 3.777
Hg -1.100 3.081 3.777
Hg -0.695 6.192 3.777
Hg 2.118 2.494 1.259
Hg 1.796 4.286 3.777
Hg 4.609 0.588 1.259
Hg 5.015 3.698 1.259
```

Space group: P6_3/m, No. 176


2:
Computed, not measured: Zn4Hg3 after structural relaxation at the PBE-GGA level of DFT.

The structure in extended XYZ format:
```
14
Lattice="7.670 0.000 0.000 -3.835 6.643 0.000 0.000 0.000 5.231" Properties=species:S:1:pos:R:3 pbc="T T T"
Zn -1.021 3.249 1.308
Zn 0.000 4.428 3.923
Zn -0.511 5.903 1.308
Zn 2.303 2.509 3.923
Zn 1.532 4.134 1.308
Zn 4.346 0.740 3.923
Zn 3.835 2.214 1.308
Zn 4.856 3.394 3.923
Hg -0.535 1.749 3.923
Hg -2.053 6.232 3.923
Hg 1.247 1.338 1.308
Hg 2.588 5.305 3.923
Hg 5.888 0.411 1.308
Hg 4.370 4.894 1.308
```

Space group: P6_3/m, No. 176


Most stable: 2


1:
Computed, not measured: Ho2I after structural relaxation at the PBE-GGA level of DFT.

The structure in extended XYZ format:
```
6
Lattice="0.000 6.802 6.802 6.802 0.000 6.802 6.802 6.802 0.000" Properties=species:S:1:pos:R:3 pbc="T T T"
Ho 0.000 0.000 0.000
Ho 3.401 3.401 0.000
Ho 3.401 0.000 3.401
Ho 0.000 3.401 3.401
I 1.701 1.701 1.701
I 11.904 11.904 11.904
```

Total magnetic moment (μB/cell): 10.14
Space group: Fd-3m, No. 227


2:
Computed, not measured: Ho2I after structural relaxation at the PBE-GGA level of DFT.

The structure in extended XYZ format:
```
6
Lattice="0.000 4.684 4.684 4.684 0.000 4.684 4.684 4.684 0.000" Properties=species:S:1:pos:R:3 pbc="T T T"
Ho 0.000 0.000 0.000
Ho 2.342 2.342 0.000
Ho 2.342 0.000 2.342
Ho 0.000 2.342 2.342
I 3.513 3.513 3.513
I 5.855 5.855 5.855
```

Total magnetic moment (μB/cell): 0.02
Space group: Fd-3m, No. 227


Most stable: 2


1:
Computed, not measured: HoNbIn after structural relaxation at the PBE-GGA level of DFT.

The structure in extended XYZ format:
```
3
Lattice="0.000 3.465 3.465 3.465 0.000 3.465 3.465 3.465 0.000" Properties=species:S:1:pos:R:3 pbc="T T T"
Ho 0.000 0.000 0.000
Nb 1.733 1.733 1.733
In 3.465 3.465 3.465
```

Total magnetic moment (μB/cell): 2.94
Space group: F-43m, No. 216


2:
Computed, not measured: HoNbIn after structural relaxation at the PBE-GGA level of DFT.

The structure in extended XYZ format:
```
3
Lattice="0.000 3.502 3.502 3.502 0.000 3.502 3.502 3.502 0.000" Properties=species:S:1:pos:R:3 pbc="T T T"
Ho 0.000 0.000 0.000
Nb 1.751 1.751 1.751
In 5.253 5.253 5.253
```

Total magnetic moment (μB/cell): 3.02
Space group: F-43m, No. 216


Most stable: 1


1:
Computed, not measured: HoTmIn2Ni4 after structural relaxation at the PBE-GGA level of DFT.

The structure in extended XYZ format:
```
8
Lattice="3.983 0.000 0.000 0.000 5.056 0.000 0.000 0.000 6.959" Properties=species:S:1:pos:R:3 pbc="T T T"
Ho 0.000 0.000 0.000
Tm 0.000 2.528 3.690
In 1.992 0.000 4.329
In 1.992 2.528 6.327
Ni 0.000 0.000 2.640
Ni 0.000 2.528 1.070
Ni 1.992 1.269 1.860
Ni 1.992 3.787 1.860
```

Total magnetic moment (μB/cell): 0.00
Space group: Pmm2, No. 25


2:
Computed, not measured: HoTmIn2Ni4 after structural relaxation at the PBE-GGA level of DFT.

The structure in extended XYZ format:
```
8
Lattice="4.393 0.000 0.000 -2.196 3.804 0.000 0.000 0.000 8.365" Properties=species:S:1:pos:R:3 pbc="T T T"
Ho 0.000 0.000 0.000
Tm 2.196 1.268 4.182
In 0.000 2.536 2.106
In 0.000 2.536 6.259
Ni 0.000 0.000 2.842
Ni 0.000 0.000 5.523
Ni 2.196 1.268 1.375
Ni 2.196 1.268 6.990
```

Total magnetic moment (μB/cell): 0.00
Space group: P-6m2, No. 187


Most stable: 1


1:
Computed, not measured: HoZnInNi after structural relaxation at the PBE-GGA level of DFT.

The structure in extended XYZ format:
```
8
Lattice="7.462 0.000 0.000 0.000 2.094 4.823 0.000 -2.094 4.823" Properties=species:S:1:pos:R:3 pbc="T T T"
Ho 0.000 0.000 0.000
Ho 3.731 0.000 1.269
Zn 2.312 0.000 4.054
Zn 5.150 0.000 4.054
In 1.513 0.000 6.862
In 5.949 0.000 6.862
Ni 0.000 0.000 2.838
Ni 3.731 0.000 8.250
```

Total magnetic moment (μB/cell): 0.00
Space group: Amm2, No. 38


2:
Computed, not measured: HoZnInNi after structural relaxation at the PBE-GGA level of DFT.

The structure in extended XYZ format:
```
8
Lattice="2.111 -4.838 0.000 2.111 4.838 0.000 0.000 0.000 7.362" Properties=species:S:1:pos:R:3 pbc="T T T"
Ho 2.111 4.187 3.681
Ho 2.111 -4.187 0.000
Zn 2.111 1.442 5.152
Zn 2.111 -1.442 1.471
In 2.111 1.358 2.257
In 2.111 -1.358 5.938
Ni 2.111 2.717 0.019
Ni 2.111 -2.717 3.700
```

Total magnetic moment (μB/cell): 0.00
Space group: Cmc2_1, No. 36


Most stable: 2